Here is PrNpNi2O6 after structural relaxation from Alexandria. Energies are from PBE+U.

Unit cell a=5.530 b=5.529 c=5.822 alpha=61.66 beta=61.68 gamma=60.01
Last column: magnetic moment on the atom in μB.
Positions (direct):
1 O 0.619 0.245 0.235  0.10
2 O 0.901 0.619 0.235  0.10
3 O 0.245 0.901 0.235  0.10
4 O 0.161 0.360 0.753  0.10
5 O 0.726 0.161 0.753  0.10
6 O 0.360 0.726 0.753  0.10
7 Ni 0.012 0.012 0.964  1.76
8 Ni 0.523 0.523 0.430  1.76
9 Np 0.316 0.316 0.052  -2.18
10 Pr 0.798 0.798 0.605  0.00

Properties
total moment	0.20	μB/atom
DOS(E_F)	7.8	states/eV/f.u.
total energy	-7.493	eV per atom